A.
# TaNbCo2, optimized geometry, DFT PBE-GGA
data_TaNbCo2
_chemical_formula_sum 'Ta1 Nb1 Co2'
_cell_length_a 3.958
_cell_length_b 3.958
_cell_length_c 3.625
_cell_angle_alpha 90.00
_cell_angle_beta 90.00
_cell_angle_gamma 90.00
_symmetry_space_group_name_H-M 'P 4/m m m'
_symmetry_Int_Tables_number 123
_symmetry_space_group_name_Hall '-P 4 2'
loop_
_atom_site_label
_atom_site_type_symbol
_atom_site_fract_x
_atom_site_fract_y
_atom_site_fract_z
Ta1 Ta 0.000 0.000 0.000
Nb1 Nb 0.500 0.500 0.000
Co1 Co 0.000 0.500 0.500
# Mass density ... 11.5 g cm⁻³

=====

B.
# TaNbCo2, optimized geometry, DFT PBE-GGA
data_TaNbCo2
_chemical_formula_sum 'Ta4 Nb4 Co8'
_cell_length_a 6.695
_cell_length_b 6.695
_cell_length_c 5.397
_cell_angle_alpha 90.00
_cell_angle_beta 90.00
_cell_angle_gamma 90.00
_symmetry_space_group_name_H-M 'I -4 2 d'
_symmetry_Int_Tables_number 122
_symmetry_space_group_name_Hall 'I -4 2bw'
loop_
_atom_site_label
_atom_site_type_symbol
_atom_site_fract_x
_atom_site_fract_y
_atom_site_fract_z
Ta1 Ta 0.000 0.000 0.000
Nb1 Nb 0.000 0.000 0.500
Co1 Co 0.249 0.250 0.125
# Mass density ... 10.8 g cm⁻³

=====

C.
# TaNbCo2, optimized geometry, DFT PBE-GGA
data_TaNbCo2
_chemical_formula_sum 'Ta4 Nb4 Co8'
_cell_length_a 6.167
_cell_length_b 6.167
_cell_length_c 6.167
_cell_angle_alpha 90.00
_cell_angle_beta 90.00
_cell_angle_gamma 90.00
_symmetry_space_group_name_H-M 'F m -3 m'
_symmetry_Int_Tables_number 225
_symmetry_space_group_name_Hall '-F 4 2 3'
loop_
_atom_site_label
_atom_site_type_symbol
_atom_site_fract_x
_atom_site_fract_y
_atom_site_fract_z
Ta1 Ta 0.000 0.000 0.000
Nb1 Nb 0.000 0.000 0.500
Co1 Co 0.250 0.250 0.250
# Mass density ... 11.1 g cm⁻³

=====

Least stable structure: B